(1)
A plane-wave DFT calculation with PBE was carried out for crystalline AcSmTlCu at its relaxed geometry.

Calculated values
Formation energy from the elements (meV per atom): -168.6

```
AcSmTlCu
1.0
0.0000 3.8778 3.8778
3.8778 0.0000 3.8778
3.8778 3.8778 0.0000
Ac Sm Tl Cu
1 1 1 1
Cartesian
0.0000 0.0000 0.0000
3.8778 3.8778 3.8778
5.8168 5.8168 5.8168
1.9389 1.9389 1.9389
```

---

(2)
A plane-wave DFT calculation with PBE was carried out for crystalline AcSmZnCu at its relaxed geometry.

Calculated values
Energy relative to the lowest polymorph listed for this composition (meV/atom): 29
Formation energy from the elements (meV per atom): -167.3

```
AcSmZnCu
1.0
0.0000 3.7399 3.7399
3.7399 0.0000 3.7399
3.7399 3.7399 0.0000
Ac Sm Zn Cu
1 1 1 1
Cartesian
0.0000 0.0000 0.0000
3.7399 3.7399 3.7399
1.8700 1.8700 1.8700
5.6099 5.6099 5.6099
```

---

(3)
A plane-wave DFT calculation with PBE was carried out for crystalline AcSmZnCu at its relaxed geometry.

Calculated values
Energy relative to the lowest polymorph listed for this composition (meV/atom): 0
Formation energy from the elements (meV per atom): -196.3

```
AcSmZnCu
1.0
3.7297 0.0000 0.0000
0.0000 3.7297 0.0000
0.0000 0.0000 7.4444
Ac Sm Zn Cu
1 1 1 1
Cartesian
0.0000 0.0000 0.0000
0.0000 0.0000 3.8160
1.8649 1.8649 2.1180
1.8649 1.8649 5.3485
```

---

(4)
A plane-wave DFT calculation with PBE was carried out for crystalline Ac2CuSn3 at its relaxed geometry.

Calculated values
Formation energy from the elements (meV per atom): -581.1

```
Ac2CuSn3
1.0
0.0000 4.7103 8.1620
4.6550 0.0000 8.1620
4.6550 4.7103 0.0000
Ac Cu Sn
4 2 6
Cartesian
7.0900 4.7103 8.1620
2.3275 2.3552 4.0810
6.9825 7.0655 12.2430
2.2201 4.7103 8.1620
4.6550 4.7103 5.3938
4.6550 4.7103 10.9302
4.6550 4.7103 2.8354
4.6550 2.5539 6.7288
4.6550 2.5539 9.5951
4.6550 6.8668 6.7288
4.6550 6.8668 9.5951
4.6550 4.7103 13.4886
```

---

(5)
A plane-wave DFT calculation with PBE was carried out for crystalline Ac5Cu2Sn2 at its relaxed geometry.

Calculated values
Formation energy from the elements (meV per atom): -314.9

```
Ac5Cu2Sn2
1.0
8.3287 -4.3003 0.0000
8.3287 4.3003 0.0000
0.0000 0.0000 8.6326
Ac Cu Sn
10 4 4
Cartesian
0.0000 0.0000 0.0000
6.1381 2.8238 5.7795
6.1381 1.4765 1.4632
10.5192 2.8238 5.7795
10.5192 1.4765 1.4632
8.3287 0.0000 4.3163
6.1381 -1.4765 7.1694
6.1381 -2.8238 2.8531
10.5192 -1.4765 7.1694
10.5192 -2.8238 2.8531
8.3287 3.3420 3.3486
8.3287 0.9583 7.6649
8.3287 -0.9583 0.9677
8.3287 -3.3420 5.2840
3.4668 0.0000 0.0000
4.8618 0.0000 4.3163
11.7955 0.0000 4.3163
13.1905 0.0000 0.0000
```

---

(6)
A plane-wave DFT calculation with PBE was carried out for crystalline AcCu3Sn3 at its relaxed geometry.

Calculated values
Energy relative to the lowest polymorph listed for this composition (meV/atom): 0
Formation energy from the elements (meV per atom): -151.4

```
AcCu3Sn3
1.0
9.1437 0.0000 0.0000
-4.5718 7.9186 0.0000
0.0000 0.0000 4.4556
Ac Cu Sn
2 6 6
Cartesian
0.0000 5.2791 1.1139
4.5718 2.6395 3.3417
-1.6209 3.6621 3.3417
-0.5899 7.4913 3.3417
2.3610 3.2348 1.1139
2.2108 4.6839 3.3417
5.1617 0.4273 1.1139
6.1927 4.2565 1.1139
-2.9503 6.0464 3.3417
0.8106 2.3404 3.3417
2.4321 0.4682 1.1139
2.1397 7.4505 3.3417
3.7612 5.5783 1.1139
7.5221 1.8722 1.1139
```

---

(7)
A plane-wave DFT calculation with PBE was carried out for crystalline AcCu2Sn3 at its relaxed geometry.

Calculated values
Energy relative to the lowest polymorph listed for this composition (meV/atom): 0
Formation energy from the elements (meV per atom): -377.4

```
AcCu2Sn3
1.0
-2.3121 2.3121 13.5030
2.3121 -2.3121 13.5030
2.3121 2.3121 -13.5030
Ac Cu Sn
2 4 6
Cartesian
0.0000 0.0000 4.2240
0.0000 0.0000 22.7819
2.3121 0.0000 6.7515
0.0000 0.0000 10.6974
0.0000 0.0000 16.3085
0.0000 2.3121 6.7515
2.3121 0.0000 1.4450
0.0000 0.0000 8.0976
2.3121 0.0000 12.0580
0.0000 2.3121 1.4450
0.0000 0.0000 18.9083
0.0000 2.3121 12.0580
```

---

(8)
A plane-wave DFT calculation with PBE was carried out for crystalline Ac3CuSn2 at its relaxed geometry.

Calculated values
Energy relative to the lowest polymorph listed for this composition (meV/atom): 0
Formation energy from the elements (meV per atom): -556.4

```
Ac3CuSn2
1.0
13.1234 0.0000 0.0000
0.0000 4.7362 0.0000
0.0000 0.0000 12.9734
Ac Cu Sn
12 4 8
Cartesian
0.7908 1.1840 1.5654
1.5462 3.5521 7.1986
2.8627 1.1840 10.3147
3.6990 3.5521 3.8280
5.0155 1.1840 0.7119
5.7709 3.5521 8.0521
7.3525 1.1840 4.9213
8.1079 3.5521 12.2615
9.4244 1.1840 9.1455
10.2607 3.5521 2.6587
11.5772 1.1840 5.7748
12.3326 3.5521 11.4080
1.7035 1.1840 4.6603
4.8582 3.5521 11.1470
8.2652 1.1840 1.8264
11.4199 3.5521 8.3131
0.2725 3.5521 4.0272
2.6005 3.5521 12.8621
3.9612 1.1840 6.3753
6.2892 1.1840 10.5139
6.8342 3.5521 2.4595
9.1622 3.5521 6.5981
10.5229 1.1840 0.1114
12.8509 1.1840 8.9462
```

---

(9)
A plane-wave DFT calculation with PBE was carried out for crystalline Ac2CuSn at its relaxed geometry.

Calculated values
Energy relative to the lowest polymorph listed for this composition (meV/atom): 9
Formation energy from the elements (meV per atom): -336.8

```
Ac2CuSn
1.0
3.8962 0.0000 0.0000
0.0000 3.8962 0.0000
0.0000 0.0000 8.1197
Ac Cu Sn
2 1 1
Cartesian
0.0000 0.0000 1.8822
0.0000 0.0000 6.2375
1.9481 1.9481 0.0000
1.9481 1.9481 4.0598
```

---

(10)
A plane-wave DFT calculation with PBE was carried out for crystalline Ac3Cu3Sn4 at its relaxed geometry.

Calculated values
Formation energy from the elements (meV per atom): -490.9

```
Ac3Cu3Sn4
1.0
-5.1029 5.1029 5.1029
5.1029 -5.1029 5.1029
5.1029 5.1029 -5.1029
Ac Cu Sn
6 6 8
Cartesian
5.1029 -2.5515 3.8272
3.8272 5.1029 -2.5515
5.1029 2.5515 1.2757
2.5515 1.2757 5.1029
1.2757 5.1029 2.5515
-2.5515 3.8272 5.1029
7.6544 1.2757 0.0000
3.8272 0.0000 2.5515
2.5515 3.8272 0.0000
0.0000 2.5515 3.8272
1.2757 0.0000 7.6544
0.0000 7.6544 1.2757
3.3307 1.7723 -1.7723
5.8821 -0.7792 0.7792
1.7723 -1.7723 3.3307
1.7723 1.7723 1.7723
-1.7723 3.3307 1.7723
0.7792 5.8821 -0.7792
-0.7792 0.7792 5.8821
4.3237 4.3237 4.3237
```

---

(11)
A plane-wave DFT calculation with PBE was carried out for crystalline Ac3Cu2Sn4 at its relaxed geometry.

Calculated values
Formation energy from the elements (meV per atom): -557.6

```
Ac3Cu2Sn4
1.0
5.9681 -2.3936 0.0000
5.9681 2.3936 0.0000
-2.3039 0.0000 8.9465
Ac Cu Sn
3 2 4
Cartesian
0.0000 0.0000 0.0000
3.6793 0.0000 2.8070
5.9530 0.0000 6.1395
2.3381 0.0000 5.7602
7.2942 0.0000 3.1864
0.1712 0.0000 3.5759
1.3383 0.0000 8.2626
8.2939 0.0000 0.6840
9.4610 0.0000 5.3707
```